Entry 1:
Material: Ta2SbPIr
Method: DFT, GGA-PBE
State: relaxed

**Raw formation energy**: 9.96 eV per formula unit
**Density of states at the Fermi level**: 1.44 states/eV/atom
**V**: 24.4 A^3/atom
**Size of the total moment**: 0.0 μB per formula unit

Lattice parameters (Å, degrees): 5.0688 5.0688 4.7443 90.00 90.00 90.00
Space group P4/mmm (No. 123)
Symmetry-distinct sites (fractional):
Ta: 0.0000 0.5000 0.0000 (multiplicity 2)
Sb: 0.0000 0.0000 0.0000 (multiplicity 1)
P: 0.5000 0.5000 0.5000 (multiplicity 1)
Ir: 0.0000 0.0000 0.5000 (multiplicity 1)

---

Entry 2:
Material: Tc2SbPIr
Method: DFT, GGA-PBE
State: relaxed

**Raw formation energy**: 11.67 eV per formula unit
**Density of states at the Fermi level**: 1.66 states/eV/atom
**V**: 22.3 A^3/atom
**Size of the total moment**: 2.2 μB per formula unit

Lattice parameters (Å, degrees): 4.8221 4.8221 4.7996 90.00 90.00 90.00
Space group P4/mmm (No. 123)
Symmetry-distinct sites (fractional):
Tc: 0.0000 0.5000 0.0000 (multiplicity 2)
Sb: 0.0000 0.0000 0.0000 (multiplicity 1)
P: 0.0000 0.0000 0.5000 (multiplicity 1)
Ir: 0.5000 0.5000 0.5000 (multiplicity 1)

---

Entry 3:
Material: SbTe2PIr
Method: DFT, GGA-PBE
State: relaxed

**Raw formation energy**: 3.14 eV per formula unit
**Density of states at the Fermi level**: 0.94 states/eV/atom
**Distance to the lowest polymorph of the same formula**: 0.000 eV/atom
**V**: 25.6 A^3/atom
**Size of the total moment**: 0.0 μB per formula unit

Lattice parameters (Å, degrees): 5.3855 5.3855 4.4130 90.00 90.00 90.00
Space group P4/mmm (No. 123)
Symmetry-distinct sites (fractional):
Sb: 0.0000 0.0000 0.0000 (multiplicity 1)
Te: 0.0000 0.5000 0.5000 (multiplicity 2)
P: 0.5000 0.5000 0.5000 (multiplicity 1)
Ir: 0.5000 0.5000 0.0000 (multiplicity 1)